Entry w
Density functional theory data (GGA-PBEsol) for ZrOsRu2 after structural relaxation.

Summary:
DOS at the Fermi energy: 8.6 states/eV per cell
theoretical density: 13.1 g/cm3

abc: 9.1472 2.8305 4.8114
angles: 90.00 100.88 90.00
Closest atoms and distances in Å follow each position.
Space group C2/m (No. 12)
Unique sites:
Zr 0.0000 0.0000 0.0000  6 Ru 2.79-2.88, 4 Os 2.79, 2 Zr 2.83
Os 0.0000 0.5000 0.5000  6 Ru 2.66-2.78, 4 Zr 2.79, 2 Os 2.83
Ru 0.2401 0.0000 0.7194  4 Ru 2.58-2.83, 3 Os 2.66-2.78, 3 Zr 2.79-2.88


Entry x
Density functional theory data (GGA-PBEsol) for ZrOsRu2 after structural relaxation.

Summary:
DOS at the Fermi energy: 4.4 states/eV per cell
theoretical density: 13.3 g/cm3

abc: 4.7001 2.8299 4.7722
angles: 90.00 108.52 90.00
Closest atoms and distances in Å follow each position.
Space group P2/m (No. 10)
Unique sites:
Zr 0.0000 0.0000 0.0000  6 Ru 2.74-2.77, 4 Os 2.77, 2 Zr 2.83
Os 0.0000 0.5000 0.5000  6 Ru 2.74-2.77, 4 Zr 2.77, 2 Os 2.83
Ru 0.5000 0.0000 0.5000  4 Os 2.74, 2 Zr 2.77, 6 Ru 2.77-2.83
Ru 0.5000 0.5000 0.0000  4 Zr 2.74, 2 Os 2.77, 6 Ru 2.77-2.83


Entry y
Density functional theory data (GGA-PBEsol) for ZrOsRu2 after structural relaxation.

Summary:
DOS at the Fermi energy: 9.0 states/eV per cell
theoretical density: 13.4 g/cm3

abc: 5.6012 7.5350 2.8420
angles: 90.00 90.00 90.00
Closest atoms and distances in Å follow each position.
Space group Cmmm (No. 65)
Unique sites:
Zr 0.0000 0.0000 0.0000  8 Ru 2.74, 2 Os 2.80, 2 Zr 2.84
Os 0.0000 0.5000 0.0000  8 Ru 2.74, 2 Zr 2.80, 2 Os 2.84
Ru 0.2500 0.2500 0.5000  4 Zr 2.74, 4 Os 2.74, 4 Ru 2.80-2.84


entry y ends up most stable, edging out the next structure by 0.028 eV/atom.